Density functional theory data (PBE) for an optimized crystal structure of HfCu3Ni4.

Cell and atoms, written as extended XYZ:
```
16
Lattice="8.331 0.000 0.000 0.000 5.387 0.000 0.000 0.000 4.417" Properties=species:S:1:pos:R:3 pbc="T T T"
Hf 0.000 0.000 0.000
Hf 4.165 0.000 0.000
Cu 0.000 2.694 0.000
Cu 2.083 0.000 1.786
Cu 2.083 2.694 1.541
Cu 4.165 2.694 0.000
Cu 6.248 0.000 2.632
Cu 6.248 2.694 2.876
Ni 0.000 1.419 2.209
Ni 0.000 3.968 2.209
Ni 2.083 1.456 3.768
Ni 2.083 3.931 3.768
Ni 4.165 1.419 2.209
Ni 4.165 3.968 2.209
Ni 6.248 1.456 0.649
Ni 6.248 3.931 0.649
```

Its calculated volume is 198.2 Å³/cell. As for the formation energy: -1.32 eV per formula unit. For the density of states at the Fermi level, the calculation gives 9.8 states/eV/cell.

***

Density functional theory data (PBE) for an optimized crystal structure of P2IrPt.

Cell and atoms, written as extended XYZ:
```
4
Lattice="0.000 3.102 3.102 3.102 0.000 3.102 3.102 3.102 0.000" Properties=species:S:1:pos:R:3 pbc="T T T"
P 0.000 0.000 0.000
P 1.551 1.551 1.551
Ir 3.102 3.102 3.102
Pt 4.654 4.654 4.654
```

Its calculated volume is 59.7 Å³/cell. As for the formation energy: 2.22 eV per formula unit. For the density of states at the Fermi level, the calculation gives 4.4 states/eV/cell. The calculation puts the energy above the most stable polymorph in this dataset at 941 meV/atom.

***

Density functional theory data (PBE) for an optimized crystal structure of BeIn2Ni2.

Cell and atoms, written as extended XYZ:
```
10
Lattice="6.016 0.000 0.000 0.000 6.016 0.000 0.000 0.000 4.110" Properties=species:S:1:pos:R:3 pbc="T T T"
Be 0.000 0.000 0.000
Be 3.008 3.008 0.000
In 1.019 1.990 2.055
In 1.990 4.998 2.055
In 4.027 1.019 2.055
In 4.998 4.027 2.055
Ni 0.895 3.903 0.000
Ni 2.113 0.895 0.000
Ni 3.903 5.122 0.000
Ni 5.122 2.113 0.000
```

Its calculated volume is 148.8 Å³/cell. As for the formation energy: -0.14 eV per formula unit. For the density of states at the Fermi level, the calculation gives 3.0 states/eV/cell. The calculation puts the energy above the most stable polymorph in this dataset at 0 meV/atom.

***

Density functional theory data (PBE) for an optimized crystal structure of Ac3Np5O12.

Cell and atoms, written as extended XYZ:
```
80
Lattice="-7.070 7.070 7.070 7.070 -7.070 7.070 7.070 7.070 -7.070" Properties=species:S:1:pos:R:3 pbc="T T T"
Ac 3.535 1.768 0.000
Ac 7.070 3.535 -1.768
Ac 1.768 0.000 3.535
Ac 8.838 0.000 3.535
Ac 0.000 3.535 1.768
Ac 3.535 -1.768 7.070
Ac 3.535 8.838 0.000
Ac 7.070 3.535 5.303
Ac -1.768 7.070 3.535
Ac 5.303 7.070 3.535
Ac 0.000 3.535 8.838
Ac 3.535 5.303 7.070
Np 0.000 0.000 0.000
Np 3.535 3.535 -3.535
Np 3.535 -3.535 3.535
Np 7.070 0.000 0.000
Np 10.606 1.768 0.000
Np 7.070 -3.535 5.303
Np 5.303 7.070 -3.535
Np 5.303 0.000 3.535
Np 3.535 5.303 0.000
Np 7.070 3.535 1.768
Np -3.535 3.535 3.535
Np 0.000 7.070 0.000
Np 0.000 0.000 7.070
Np 3.535 3.535 3.535
Np 0.000 3.535 5.303
Np 3.535 1.768 7.070
Np 1.768 7.070 3.535
Np 1.768 0.000 10.606
Np 0.000 10.606 1.768
Np -3.535 5.303 7.070
O 2.125 -0.325 0.849
O 8.480 4.384 -3.860
O 9.196 0.325 0.849
O 8.480 -2.686 3.860
O 6.745 -0.849 2.125
O 10.931 -1.410 2.686
O 0.849 2.125 -0.325
O 9.756 3.210 -1.410
O 4.384 3.860 -1.410
O 6.221 2.125 0.325
O -0.325 0.849 2.125
O 3.860 -1.410 4.384
O 6.745 6.221 -2.125
O 3.860 1.410 2.686
O 4.384 -3.860 8.480
O 6.221 -2.125 6.745
O 2.686 3.860 1.410
O 7.920 4.945 0.325
O 3.860 8.480 -2.686
O 6.745 0.849 4.945
O 2.125 6.745 -0.849
O 8.480 2.686 3.210
O 1.410 2.686 3.860
O 2.125 0.325 6.221
O 4.945 6.745 0.849
O 5.660 4.384 3.210
O -1.410 4.384 3.860
O 4.945 0.325 7.920
O 0.325 6.221 2.125
O 3.210 -1.410 9.756
O -0.849 2.125 6.745
O 4.384 3.210 5.660
O 0.849 9.196 0.325
O 2.686 10.931 -1.410
O 3.210 5.660 4.384
O 0.325 0.849 9.196
O 3.210 8.480 2.686
O 7.396 6.221 4.945
O 0.849 4.945 6.745
O 2.686 3.210 8.480
O -2.686 3.860 8.480
O 6.221 4.945 7.396
O -3.860 8.480 4.384
O 0.325 7.920 4.945
O -1.410 9.756 3.210
O -2.125 6.745 6.221
O -1.410 2.686 10.931
O 4.945 7.396 6.221
```

Its calculated volume is 1413.8 Å³/cell. As for the uncorrected formation energy: -2900 meV/atom. For the density of states at the Fermi level, the calculation gives 148.7 states/eV/cell.

***

Density functional theory data (PBE) for an optimized crystal structure of K2ZnAuO4.

Cell and atoms, written as extended XYZ:
```
16
Lattice="0.000 6.827 9.365 2.975 0.000 9.365 2.975 6.827 0.000" Properties=species:S:1:pos:R:3 pbc="T T T"
K 2.231 5.121 0.921
K 3.718 8.534 5.603
K 2.231 5.121 13.126
K 3.718 8.534 17.809
Zn 0.744 1.707 2.341
Zn 5.206 11.948 16.388
Au 2.231 5.121 7.024
Au 3.718 8.534 11.706
O 3.769 3.814 7.001
O 3.769 6.427 7.046
O 5.256 7.228 11.728
O 5.256 9.841 11.684
O 0.693 3.814 7.046
O 0.693 6.427 7.001
O 2.181 7.228 11.684
O 2.181 9.841 11.728
```

Its calculated volume is 380.4 Å³/cell. As for the uncorrected formation energy: -833 meV/atom. For the density of states at the Fermi level, the calculation gives 14.4 states/eV/cell.

***

Density functional theory data (PBE) for an optimized crystal structure of CeNd3Dy2Y6.

Cell and atoms, written as extended XYZ:
```
12
Lattice="3.118 -5.399 0.000 3.118 5.399 0.000 -2.075 0.000 11.683" Properties=species:S:1:pos:R:3 pbc="T T T"
Ce 0.000 0.000 0.000
Nd 2.081 3.590 5.842
Nd 2.081 0.000 5.842
Nd 2.081 -3.590 5.842
Dy 3.118 1.800 0.000
Dy 3.118 -1.800 0.000
Y 1.035 1.788 2.881
Y -0.009 0.000 8.802
Y 1.035 -1.788 2.881
Y 3.127 1.788 8.803
Y 4.171 0.000 2.882
Y 3.127 -1.788 8.803
```

Its calculated volume is 393.4 Å³/cell. As for the formation energy: 0.40 eV per formula unit. For the density of states at the Fermi level, the calculation gives 19.0 states/eV/cell.

***

Density functional theory data (PBE) for an optimized crystal structure of AgPt2.

Cell and atoms, written as extended XYZ:
```
12
Lattice="5.732 0.000 0.000 0.000 3.955 0.000 0.000 0.000 8.585" Properties=species:S:1:pos:R:3 pbc="T T T"
Ag 0.671 0.989 0.696
Ag 2.195 2.966 4.988
Ag 3.537 0.989 3.597
Ag 5.061 2.966 7.889
Pt 0.637 0.989 3.544
Pt 0.798 0.989 6.420
Pt 2.067 2.966 2.127
Pt 2.229 2.966 7.837
Pt 3.503 0.989 0.749
Pt 3.664 0.989 6.458
Pt 4.933 2.966 2.165
Pt 5.095 2.966 5.041
```

Its calculated volume is 194.6 Å³/cell. As for the formation energy: 0.13 eV per formula unit. For the density of states at the Fermi level, the calculation gives 12.1 states/eV/cell. The calculation puts the energy above the most stable polymorph in this dataset at 50 meV/atom.

***

Density functional theory data (PBE) for an optimized crystal structure of SrMgMn2.

Cell and atoms, written as extended XYZ:
```
4
Lattice="4.679 -1.630 0.000 4.679 1.630 0.000 -1.020 0.000 6.445" Properties=species:S:1:pos:R:3 pbc="T T T"
Sr 0.000 0.000 0.000
Mg 4.169 0.000 3.223
Mn 1.568 0.000 4.253
Mn 6.769 0.000 2.192
```

Its calculated volume is 98.3 Å³/cell. As for the formation energy: 2.30 eV per formula unit. For the density of states at the Fermi level, the calculation gives 3.1 states/eV/cell.

***

Number 1: E_tot -93.4 eV/cell. Number 2: E_tot -23.5 eV/cell. Number 3: E_tot -41.8 eV/cell. Number 4: E_tot -778.1 eV/cell. Number 5: E_tot -66.5 eV/cell. Number 6: E_tot -67.8 eV/cell. Number 7: E_tot -59.2 eV/cell. Number 8: E_tot -19.3 eV/cell.